No. 1
# ScV2NiGe (PBE, optimized geometry)
# E_tot = -6.5437 eV per atom
data_ScV2NiGe
_symmetry_space_group_name_H-M 'P 4/m m m'
_symmetry_Int_Tables_number 123
_symmetry_space_group_name_Hall '-P 4 2'
_cell_length_a 4.511
_cell_length_b 4.511
_cell_length_c 4.362
_cell_angle_alpha 90.00
_cell_angle_beta 90.00
_cell_angle_gamma 90.00
loop_
_atom_site_label
_atom_site_type_symbol
_atom_site_fract_x
_atom_site_fract_y
_atom_site_fract_z
Sc1 Sc 0.000 0.000 0.000
V1 V 0.000 0.500 0.500
Ni1 Ni 0.500 0.500 0.500
Ge1 Ge 0.500 0.500 0.000

---

No. 2
# Pr3Cu (PBE, optimized geometry)
# E_tot = -4.4570 eV per atom
data_Pr3Cu
_symmetry_space_group_name_H-M 'I 4/m m m'
_symmetry_Int_Tables_number 139
_symmetry_space_group_name_Hall '-I 4 2'
_cell_length_a 4.751
_cell_length_b 4.751
_cell_length_c 10.206
_cell_angle_alpha 90.00
_cell_angle_beta 90.00
_cell_angle_gamma 90.00
loop_
_atom_site_label
_atom_site_type_symbol
_atom_site_fract_x
_atom_site_fract_y
_atom_site_fract_z
Pr1 Pr 0.000 0.000 0.000
Pr2 Pr 0.000 0.500 0.250
Cu1 Cu 0.000 0.000 0.500

---

No. 3
# K3U2O7 (PBE, optimized geometry)
# formation energy from raw total energies = -2762 meV/atom
data_K3U2O7
_symmetry_space_group_name_H-M 'I 4/m m m'
_symmetry_Int_Tables_number 139
_symmetry_space_group_name_Hall '-I 4 2'
_cell_length_a 4.337
_cell_length_b 4.337
_cell_length_c 22.180
_cell_angle_alpha 90.00
_cell_angle_beta 90.00
_cell_angle_gamma 90.00
loop_
_atom_site_label
_atom_site_type_symbol
_atom_site_fract_x
_atom_site_fract_y
_atom_site_fract_z
K1 K 0.000 0.000 0.000
K2 K 0.000 0.000 0.192
U1 U 0.000 0.000 0.403
O1 O 0.000 0.000 0.314
O2 O 0.000 0.000 0.500
O3 O 0.000 0.500 0.095